(1)
Below is crystalline CaFe2CuO4 at its relaxed geometry, with properties calculated at the GGA+U level.

Cell lengths 5.5820, 5.5820, 11.0010 Å; angles 90.00, 90.00, 147.47 degrees
Closest atoms and distances in Å follow each position.
Element x y z (fractional)
Ca: 0.1357 0.8643 0.7500  6 O 2.31-2.46
Ca: 0.8643 0.1357 0.2500  6 O 2.31-2.46
Fe: 0.3725 0.6275 0.5397  5 O 2.07-2.24
Fe: 0.3725 0.6275 0.9603  5 O 2.07-2.24
Fe: 0.6275 0.3725 0.0397  5 O 2.07-2.24
Fe: 0.6275 0.3725 0.4603  5 O 2.07-2.24
Cu: 0.1285 0.8715 0.2500  4 O 1.93-2.06
Cu: 0.8715 0.1285 0.7500  4 O 1.93-2.06
O: 0.0000 0.0000 0.0000  4 Fe 2.12
O: 0.0000 0.0000 0.5000  4 Fe 2.12
O: 0.2576 0.7424 0.1117  1 Cu 2.06, 3 Fe 2.07-2.24
O: 0.2576 0.7424 0.3883  1 Cu 2.06, 3 Fe 2.07-2.24
O: 0.4767 0.5233 0.7500  2 Cu 1.93
O: 0.5233 0.4767 0.2500  2 Cu 1.93
O: 0.7424 0.2576 0.6117  1 Cu 2.06, 3 Fe 2.07-2.24
O: 0.7424 0.2576 0.8883  1 Cu 2.06, 3 Fe 2.07-2.24

Calculated values
The calculation puts the density of states at the Fermi level at 7.49 states/eV per cell. The total energy comes out at -6.083 eV/atom.

=====

(2)
Below is crystalline Ca2FeCuSO3 at its relaxed geometry, with properties calculated at the GGA+U level.

Cell lengths 3.8770, 3.8770, 14.8889 Å; angles 90.00, 90.00, 90.00 degrees
Closest atoms and distances in Å follow each position.
Element x y z (fractional)
Ca: 0.2500 0.2500 0.0862  1 O 2.23
Ca: 0.2500 0.2500 0.3120  4 O 2.42
Ca: 0.7500 0.7500 0.6880  4 O 2.42
Ca: 0.7500 0.7500 0.9138  1 O 2.23
Fe: 0.2500 0.2500 0.8076  5 O 1.92-1.97
Fe: 0.7500 0.7500 0.1924  5 O 1.92-1.97
Cu: 0.2500 0.7500 0.5000  4 S 2.41
Cu: 0.7500 0.2500 0.5000  4 S 2.41
S: 0.2500 0.2500 0.5964  4 Cu 2.41
S: 0.7500 0.7500 0.4036  4 Cu 2.41
O: 0.2500 0.2500 0.9364  1 Fe 1.92
O: 0.2500 0.7500 0.2143  2 Fe 1.97
O: 0.2500 0.7500 0.7857  2 Fe 1.97
O: 0.7500 0.2500 0.2143  2 Fe 1.97
O: 0.7500 0.2500 0.7857  2 Fe 1.97
O: 0.7500 0.7500 0.0636  1 Fe 1.92

Calculated values
The total energy comes out at -5.958 eV/atom.